Here is AcLa2Bi after structural relaxation from Alexandria. Energies are from PBE.

Cell lengths 4.2789, 4.2789, 7.8733 Å; angles 90.00, 90.00, 90.00 degrees
With the nearest neighbours (Å) after each atom.
Atoms (fractional coordinates):
Ac  0.0000  0.0000  0.0000  8 La 3.79, 2 Bi 3.94
La  0.5000  0.5000  0.2906  1 La 3.30, 4 Bi 3.45
La  0.5000  0.5000  0.7094  1 La 3.30, 4 Bi 3.45
Bi  0.0000  0.0000  0.5000  8 La 3.45

- ΔH_f (0 K): -0.45 eV/atom
- Raw total energy: -4.91 eV per atom
- SG: P4/mmm (123)
- Spin magnetization: 0.443 μB/f.u.


Here is Pm7Sm2In2 after structural relaxation from Alexandria. Energies are from PBE.

Cell lengths 10.5552, 10.5552, 10.5552 Å; angles 159.23, 67.77, 116.31 degrees
With the nearest neighbours (Å) after each atom.
Atoms (fractional coordinates):
Pm  0.0000  0.0000  0.0000  2 In 3.36
Pm  0.0001  0.3400  0.6600  2 In 3.19, 1 Sm 3.40
Pm  0.1283  0.7931  0.3352  2 In 3.19, 2 Sm 3.56
Pm  0.4087  0.5686  0.8401  2 In 3.29, 3 Sm 3.56-3.58, 4 Pm 3.57-3.61
Pm  0.4579  0.7931  0.6648  2 In 3.19, 2 Sm 3.56
Pm  0.6800  0.3400  0.3400  2 In 3.19, 1 Sm 3.40
Pm  0.7284  0.5686  0.1599  2 In 3.29, 3 Sm 3.56-3.58, 4 Pm 3.57-3.61
Sm  0.3684  0.3684  0.0000  6 Pm 3.56-3.58, 4 Sm 3.81-3.84
Sm  0.6678  0.1678  0.5000  6 Pm 3.40-3.56
In  0.2528  0.0656  0.1871  7 Pm 3.19-3.36
In  0.8785  0.0656  0.8129  7 Pm 3.19-3.36

- ΔH_f (0 K): -0.05 eV/atom
- Raw total energy: -4.43 eV per atom
- SG: Imm2 (44)
- Spin magnetization: 0.000 μB/f.u.


Here is Cd3InPd3 after structural relaxation from Alexandria. Energies are from PBE.

Cell lengths 6.6114, 6.6114, 6.1828 Å; angles 90.00, 90.00, 89.09 degrees
With the nearest neighbours (Å) after each atom.
Atoms (fractional coordinates):
Cd  0.2309  0.7691  0.0000  6 Pd 2.82-2.93, 2 Cd 3.09
Cd  0.2373  0.2373  0.4993  6 Pd 2.80-2.93, 2 In 3.08-3.10
Cd  0.2378  0.7622  0.5000  6 Pd 2.83-2.89, 4 Cd 3.09-3.14
Cd  0.7622  0.2378  0.5000  6 Pd 2.83-2.89, 4 Cd 3.09-3.14
Cd  0.7627  0.7627  0.5007  6 Pd 2.80-2.93, 2 In 3.08-3.10
Cd  0.7691  0.2309  0.0000  6 Pd 2.82-2.93, 2 Cd 3.09
In  0.2468  0.2468  0.0006  6 Pd 2.78-2.83, 2 Cd 3.08-3.10
In  0.7532  0.7532  0.9994  6 Pd 2.78-2.83, 2 Cd 3.08-3.10
Pd  0.9996  0.5004  0.2477  2 In 2.78, 6 Cd 2.80-2.83, 1 Pd 3.06
Pd  0.0004  0.4996  0.7523  2 In 2.78, 6 Cd 2.80-2.83, 1 Pd 3.06
Pd  0.5004  0.9996  0.2477  2 In 2.78, 6 Cd 2.80-2.83, 1 Pd 3.06
Pd  0.4996  0.0004  0.7523  2 In 2.78, 6 Cd 2.80-2.83, 1 Pd 3.06
Pd  0.5004  0.5004  0.2470  2 In 2.83, 6 Cd 2.89-2.93, 2 Pd 3.05-3.13
Pd  0.4996  0.4996  0.7530  2 In 2.83, 6 Cd 2.89-2.93, 2 Pd 3.05-3.13

- ΔH_f (0 K): -0.37 eV/atom
- Raw total energy: -3.38 eV per atom
- SG: C2/m (12)
- Spin magnetization: 0.000 μB/f.u.


Here is SrAl12Ag7 after structural relaxation from Alexandria. Energies are from PBE.

Cell lengths 8.1930, 8.1930, 8.1930 Å; angles 112.20, 112.20, 112.20 degrees
With the nearest neighbours (Å) after each atom.
Atoms (fractional coordinates):
Sr  0.0000  0.0000  0.0000  8 Ag 3.42-3.51, 12 Al 3.45-3.50
Al  0.0000  0.2574  0.7426  4 Ag 2.72-2.75, 4 Al 2.87-2.94
Al  0.0000  0.7426  0.2574  4 Ag 2.72-2.75, 4 Al 2.87-2.94
Al  0.0969  0.4306  0.4306  3 Al 2.62-2.87, 4 Ag 2.68-2.91
Al  0.2574  0.0000  0.7426  4 Ag 2.72-2.75, 4 Al 2.87-2.94
Al  0.2574  0.7426  0.0000  4 Ag 2.72-2.75, 4 Al 2.87-2.94
Al  0.4306  0.0969  0.4306  3 Al 2.62-2.87, 4 Ag 2.68-2.91
Al  0.4306  0.4306  0.0969  3 Al 2.62-2.87, 4 Ag 2.68-2.91
Al  0.5694  0.5694  0.9031  3 Al 2.62-2.87, 4 Ag 2.68-2.91
Al  0.5694  0.9031  0.5694  3 Al 2.62-2.87, 4 Ag 2.68-2.91
Al  0.7426  0.0000  0.2574  4 Ag 2.72-2.75, 4 Al 2.87-2.94
Al  0.7426  0.2574  0.0000  4 Ag 2.72-2.75, 4 Al 2.87-2.94
Al  0.9031  0.5694  0.5694  3 Al 2.62-2.87, 4 Ag 2.68-2.91
Ag  0.1784  0.1784  0.5253  7 Al 2.68-2.75, 1 Ag 3.00
Ag  0.1784  0.5253  0.1784  7 Al 2.68-2.75, 1 Ag 3.00
Ag  0.4747  0.8216  0.8216  7 Al 2.68-2.75, 1 Ag 3.00
Ag  0.5000  0.5000  0.5000  6 Al 2.91, 6 Ag 3.08
Ag  0.5253  0.1784  0.1784  7 Al 2.68-2.75, 1 Ag 3.00
Ag  0.8216  0.4747  0.8216  7 Al 2.68-2.75, 1 Ag 3.00
Ag  0.8216  0.8216  0.4747  7 Al 2.68-2.75, 1 Ag 3.00

- ΔH_f (0 K): -0.01 eV/atom
- Raw total energy: -3.34 eV per atom
- SG: R-3m (166)
- Spin magnetization: 0.000 μB/f.u.